# 1
## SrTlIn2H (PBE)

Data for a relaxed SrTlIn2H crystal.

a = 4.9775 Å, b = 4.9775 Å, c = 4.8972 Å
α = 90.00°, β = 90.00°, γ = 90.00°
Element x y z (fractional)
Sr: 0.0000 0.0000 0.0000
Tl: 0.5000 0.5000 0.0000
In: 0.0000 0.5000 0.5000
In: 0.5000 0.0000 0.5000
H: 0.0000 0.0000 0.5000

Values from the calculation:
Final energy ... -2.73 eV per atom
Crystal system ... tetragonal
Space-group type ... P4/mmm
N(E_F) ... 0.294 states/eV per atom

# 2
## VCuIr (PBE)

Data for a relaxed VCuIr crystal.

a = 4.1778 Å, b = 4.1778 Å, c = 2.6735 Å
α = 90.00°, β = 90.00°, γ = 120.00°
Element x y z (fractional)
V: 0.0000 0.0000 0.0000
Cu: 0.3333 0.6667 0.6826
Ir: 0.6667 0.3333 0.2815

Values from the calculation:
Calculated formation energy ... -0.134 eV/atom
Crystal system ... trigonal
Space-group type ... P3m1
N(E_F) ... 0.820 states/eV per atom

# 3
## Ce2Pm2Sb2C (PBE)

Data for a relaxed Ce2Pm2Sb2C crystal.

a = 9.0070 Å, b = 9.0070 Å, c = 9.0070 Å
α = 149.28°, β = 149.28°, γ = 43.99°
Element x y z (fractional)
Ce: 0.0000 0.5000 0.5000
Ce: 0.5000 0.0000 0.5000
Pm: 0.1651 0.1651 0.0000
Pm: 0.8349 0.8349 0.0000
Sb: 0.3587 0.3587 0.0000
Sb: 0.6413 0.6413 0.0000
C: 0.0000 0.0000 0.0000

Values from the calculation:
Crystal system ... tetragonal
Space-group type ... I4/mmm
N(E_F) ... 1.516 states/eV per atom
ΔE_f (raw) ... -5.18 eV per formula unit

# 4
## TaAu (PBE)

Data for a relaxed TaAu crystal.

a = 5.2749 Å, b = 5.2749 Å, c = 5.2749 Å
α = 90.00°, β = 90.00°, γ = 90.00°
Element x y z (fractional)
Ta: 0.0965 0.0965 0.0965
Ta: 0.4035 0.9035 0.5965
Ta: 0.5965 0.4035 0.9035
Ta: 0.9035 0.5965 0.4035
Au: 0.1006 0.6006 0.8994
Au: 0.3994 0.3994 0.3994
Au: 0.6006 0.8994 0.1006
Au: 0.8994 0.1006 0.6006

Values from the calculation:
Calculated formation energy ... 0.194 eV/atom
Crystal system ... cubic
Space-group type ... P2_13
N(E_F) ... 1.002 states/eV per atom

# 5
## Mg6PtRh5 (PBE)

Data for a relaxed Mg6PtRh5 crystal.

a = 7.6658 Å, b = 7.6658 Å, c = 7.6658 Å
α = 146.56°, β = 131.96°, γ = 59.80°
Element x y z (fractional)
Mg: 0.0802 0.3321 0.7481
Mg: 0.2460 0.0000 0.2460
Mg: 0.4159 0.6679 0.7481
Mg: 0.5841 0.3321 0.2519
Mg: 0.7540 0.0000 0.7540
Mg: 0.9198 0.6679 0.2519
Pt: 0.5000 0.5000 0.0000
Rh: 0.0000 0.5000 0.5000
Rh: 0.1674 0.1674 0.0000
Rh: 0.3350 0.8350 0.5000
Rh: 0.6650 0.1650 0.5000
Rh: 0.8326 0.8326 0.0000

Values from the calculation:
Calculated formation energy ... -0.554 eV/atom
Crystal system ... orthorhombic
Space-group type ... Immm
N(E_F) ... 0.575 states/eV per atom

# 6
## SrNpZnO5 (PBE)

Data for a relaxed SrNpZnO5 crystal.

a = 6.0344 Å, b = 6.0344 Å, c = 8.0418 Å
α = 105.20°, β = 105.20°, γ = 106.33°
Element x y z (fractional)
Sr: 0.1724 0.8276 0.7500
Sr: 0.8276 0.1724 0.2500
Np: 0.5000 0.5000 0.0000
Np: 0.5000 0.5000 0.5000
Zn: 0.1917 0.8083 0.2500
Zn: 0.8083 0.1917 0.7500
O: 0.1522 0.2510 0.9047
O: 0.2025 0.6064 0.4059
O: 0.2510 0.1522 0.4047
O: 0.3936 0.7975 0.0941
O: 0.4299 0.5701 0.7500
O: 0.5701 0.4299 0.2500
O: 0.6064 0.2025 0.9059
O: 0.7490 0.8478 0.5953
O: 0.7975 0.3936 0.5941
O: 0.8478 0.7490 0.0953

Values from the calculation:
Crystal system ... monoclinic
Space-group type ... C2/c
N(E_F) ... 0.037 states/eV per atom
ΔE_f (raw) ... -20.58 eV per formula unit

# 7
## Tm7Zn2Ru2 (PBE)

Data for a relaxed Tm7Zn2Ru2 crystal.

a = 6.5077 Å, b = 6.5077 Å, c = 7.0601 Å
α = 90.00°, β = 90.00°, γ = 110.95°
Element x y z (fractional)
Tm: 0.0000 0.0000 0.0000
Tm: 0.0000 0.5000 0.2647
Tm: 0.0000 0.5000 0.7353
Tm: 0.5000 0.0000 0.2647
Tm: 0.5000 0.0000 0.7353
Tm: 0.5000 0.5000 0.2492
Tm: 0.5000 0.5000 0.7508
Zn: 0.1698 0.1698 0.5000
Zn: 0.8302 0.8302 0.5000
Ru: 0.3008 0.6992 0.0000
Ru: 0.6992 0.3008 0.0000

Values from the calculation:
Calculated formation energy ... -0.203 eV/atom
Crystal system ... orthorhombic
Space-group type ... Cmmm
N(E_F) ... 0.655 states/eV per atom

# 8
## Ag2Cl (PBE)

Data for a relaxed Ag2Cl crystal.

a = 3.9999 Å, b = 3.9999 Å, c = 4.3443 Å
α = 90.00°, β = 90.00°, γ = 90.00°
Element x y z (fractional)
Ag: 0.0000 0.5000 0.0000
Ag: 0.5000 0.0000 0.0000
Cl: 0.0000 0.0000 0.5000

Values from the calculation:
Crystal system ... tetragonal
Space-group type ... P4/mmm
N(E_F) ... 0.712 states/eV per atom
ΔE_f (raw) ... 0.37 eV per formula unit